# 1
A geometry-optimized Mn2CrRe structure. Source: the Alexandria database, functional GGA-PBEsol.

ΔH_f (0 K) = 0.94 eV/f.u.
electronic total energy = -10.54 eV/atom

Geometry as CIF:
```
data_Mn2CrRe
_chemical_formula_sum 'Mn6 Cr3 Re3'
_symmetry_space_group_name_H-M 'R -3 m'
_symmetry_Int_Tables_number 166
_symmetry_space_group_name_Hall '-R 3 2"'
_cell_length_a 2.6026
_cell_length_b 2.6026
_cell_length_c 24.3634
_cell_angle_alpha 90.00
_cell_angle_beta 90.00
_cell_angle_gamma 120.00
loop_
_atom_site_label
_atom_site_fract_x
_atom_site_fract_y
_atom_site_fract_z
Mn1 0.0000 0.0000 0.2451
Cr1 0.0000 0.0000 0.5000
Re1 0.0000 0.0000 0.0000
```

***

# 2
A geometry-optimized Mn2CrRe structure. Source: the Alexandria database, functional GGA-PBEsol.

ΔH_f (0 K) = 0.55 eV/f.u.
electronic total energy = -10.64 eV/atom

Geometry as CIF:
```
data_Mn2CrRe
_chemical_formula_sum 'Mn4 Cr2 Re2'
_symmetry_space_group_name_H-M 'I m m 2'
_symmetry_Int_Tables_number 44
_cell_length_a 2.8751
_cell_length_b 4.0563
_cell_length_c 8.0660
_cell_angle_alpha 90.00
_cell_angle_beta 90.00
_cell_angle_gamma 90.00
loop_
_symmetry_equiv_pos_as_xyz
'x,y,z'
'-x,-y,z'
'-x,y,z'
'x,-y,z'
'x+1/2,y+1/2,z+1/2'
'-x+1/2,-y+1/2,z+1/2'
'-x+1/2,y+1/2,z+1/2'
'x+1/2,-y+1/2,z+1/2'
loop_
_atom_site_label
_atom_site_fract_x
_atom_site_fract_y
_atom_site_fract_z
Mn1 0.0000 0.0000 0.0000
Mn2 0.0000 0.5000 0.2342
Cr1 0.0000 0.0000 0.5088
Re1 0.0000 0.5000 0.7614
```

***

# 3
A geometry-optimized MnCrReSb2 structure. Source: the Alexandria database, functional GGA-PBEsol.

formation energy (no corrections) = 644.7 kJ/mol of formula units
electronic total energy = -7.15 eV/atom

Geometry as CIF:
```
data_MnCrReSb2
_chemical_formula_sum 'Mn1 Cr1 Re1 Sb2'
_symmetry_space_group_name_H-M 'P 4/m m m'
_symmetry_Int_Tables_number 123
_symmetry_space_group_name_Hall '-P 4 2'
_cell_length_a 4.7689
_cell_length_b 4.7689
_cell_length_c 4.0828
_cell_angle_alpha 90.00
_cell_angle_beta 90.00
_cell_angle_gamma 90.00
loop_
_atom_site_label
_atom_site_fract_x
_atom_site_fract_y
_atom_site_fract_z
Mn1 0.0000 0.0000 0.0000
Cr1 0.0000 0.0000 0.5000
Re1 0.5000 0.5000 0.5000
Sb1 0.0000 0.5000 0.0000
```

***

# 4
A geometry-optimized TaMnCrRe2 structure. Source: the Alexandria database, functional GGA-PBEsol.

ΔH_f (0 K) = 5.87 eV/f.u.
electronic total energy = -10.67 eV/atom

Geometry as CIF:
```
data_TaMnCrRe2
_chemical_formula_sum 'Ta1 Mn1 Cr1 Re2'
_symmetry_space_group_name_H-M 'P 4/m m m'
_symmetry_Int_Tables_number 123
_symmetry_space_group_name_Hall '-P 4 2'
_cell_length_a 4.4132
_cell_length_b 4.4132
_cell_length_c 4.0105
_cell_angle_alpha 90.00
_cell_angle_beta 90.00
_cell_angle_gamma 90.00
loop_
_atom_site_label
_atom_site_fract_x
_atom_site_fract_y
_atom_site_fract_z
Ta1 0.0000 0.0000 0.0000
Mn1 0.5000 0.5000 0.0000
Cr1 0.5000 0.5000 0.5000
Re1 0.0000 0.5000 0.5000
```

***

# 5
A geometry-optimized MnCrRh structure. Source: the Alexandria database, functional GGA-PBEsol.

ΔH_f (0 K) = 0.07 eV/f.u.
electronic total energy = -9.36 eV/atom

Geometry as CIF:
```
data_MnCrRh
_chemical_formula_sum 'Mn1 Cr1 Rh1'
_symmetry_space_group_name_H-M 'P -6 m 2'
_symmetry_Int_Tables_number 187
_symmetry_space_group_name_Hall 'P -6 2'
_cell_length_a 3.9841
_cell_length_b 3.9841
_cell_length_c 2.5505
_cell_angle_alpha 90.00
_cell_angle_beta 90.00
_cell_angle_gamma 120.00
loop_
_atom_site_label
_atom_site_fract_x
_atom_site_fract_y
_atom_site_fract_z
Mn1 0.0000 0.0000 0.0000
Cr1 0.6667 0.3333 0.0000
Rh1 0.3333 0.6667 0.5000
```

***

# 6
A geometry-optimized Mn2CrRh structure. Source: the Alexandria database, functional GGA-PBEsol.

ΔH_f (0 K) = 0.21 eV/f.u.
electronic total energy = -9.42 eV/atom

Geometry as CIF:
```
data_Mn2CrRh
_chemical_formula_sum 'Mn2 Cr1 Rh1'
_symmetry_space_group_name_H-M 'P m m 2'
_symmetry_Int_Tables_number 25
_cell_length_a 2.5565
_cell_length_b 3.4746
_cell_length_c 5.1445
_cell_angle_alpha 90.00
_cell_angle_beta 90.00
_cell_angle_gamma 90.00
loop_
_symmetry_equiv_pos_as_xyz
'x,y,z'
'-x,-y,z'
'-x,y,z'
'x,-y,z'
loop_
_atom_site_label
_atom_site_fract_x
_atom_site_fract_y
_atom_site_fract_z
Mn1 0.0000 0.0000 0.0000
Mn2 0.5000 0.5000 0.2057
Cr1 0.5000 0.5000 0.7620
Rh1 0.0000 0.0000 0.4885
```

***

# 7
A geometry-optimized Mn2CrRh structure. Source: the Alexandria database, functional GGA-PBEsol.

ΔH_f (0 K) = 0.17 eV/f.u.
electronic total energy = -9.43 eV/atom

Geometry as CIF:
```
data_Mn2CrRh
_chemical_formula_sum 'Mn8 Cr4 Rh4'
_symmetry_space_group_name_H-M 'F m -3 m'
_symmetry_Int_Tables_number 225
_symmetry_space_group_name_Hall '-F 4 2 3'
_cell_length_a 5.8571
_cell_length_b 5.8571
_cell_length_c 5.8571
_cell_angle_alpha 90.00
_cell_angle_beta 90.00
_cell_angle_gamma 90.00
loop_
_atom_site_label
_atom_site_fract_x
_atom_site_fract_y
_atom_site_fract_z
Mn1 0.2500 0.2500 0.2500
Cr1 0.0000 0.0000 0.0000
Rh1 0.0000 0.0000 0.5000
```

***

# 8
A geometry-optimized Mn4CrRu structure. Source: the Alexandria database, functional GGA-PBEsol.

ΔH_f (0 K) = 0.37 eV/f.u.
electronic total energy = -9.85 eV/atom

Geometry as CIF:
```
data_Mn4CrRu
_chemical_formula_sum 'Mn16 Cr4 Ru4'
_symmetry_space_group_name_H-M 'F -4 3 m'
_symmetry_Int_Tables_number 216
_symmetry_space_group_name_Hall 'F -4 2 3'
_cell_length_a 6.4339
_cell_length_b 6.4339
_cell_length_c 6.4339
_cell_angle_alpha 90.00
_cell_angle_beta 90.00
_cell_angle_gamma 90.00
loop_
_atom_site_label
_atom_site_fract_x
_atom_site_fract_y
_atom_site_fract_z
Mn1 0.1253 0.1253 0.1253
Cr1 0.2500 0.2500 0.7500
Ru1 0.0000 0.0000 0.5000
```

***

# 9
A geometry-optimized MnCrRu structure. Source: the Alexandria database, functional GGA-PBEsol.

ΔH_f (0 K) = 0.28 eV/f.u.
electronic total energy = -9.96 eV/atom

Geometry as CIF:
```
data_MnCrRu
_chemical_formula_sum 'Mn1 Cr1 Ru1'
_symmetry_space_group_name_H-M 'P -6 m 2'
_symmetry_Int_Tables_number 187
_symmetry_space_group_name_Hall 'P -6 2'
_cell_length_a 3.9759
_cell_length_b 3.9759
_cell_length_c 2.5579
_cell_angle_alpha 90.00
_cell_angle_beta 90.00
_cell_angle_gamma 120.00
loop_
_atom_site_label
_atom_site_fract_x
_atom_site_fract_y
_atom_site_fract_z
Mn1 0.0000 0.0000 0.0000
Cr1 0.6667 0.3333 0.0000
Ru1 0.3333 0.6667 0.5000
```

***

# 10
A geometry-optimized MnCrS2 structure. Source: the Alexandria database, functional GGA-PBEsol.

formation energy (no corrections) = -90.7 kJ/mol of formula units
electronic total energy = -7.43 eV/atom

Geometry as CIF:
```
data_MnCrS2
_chemical_formula_sum 'Mn3 Cr3 S6'
_symmetry_space_group_name_H-M 'R -3 m'
_symmetry_Int_Tables_number 166
_symmetry_space_group_name_Hall '-R 3 2"'
_cell_length_a 2.9781
_cell_length_b 2.9781
_cell_length_c 22.3318
_cell_angle_alpha 90.00
_cell_angle_beta 90.00
_cell_angle_gamma 120.00
loop_
_atom_site_label
_atom_site_fract_x
_atom_site_fract_y
_atom_site_fract_z
Mn1 0.0000 0.0000 0.0000
Cr1 0.0000 0.0000 0.5000
S1 0.0000 0.0000 0.0998
```

***

# 11
A geometry-optimized MnCr2Se2S2 structure. Source: the Alexandria database, functional GGA-PBEsol.

formation energy (no corrections) = -346.0 kJ/mol of formula units
electronic total energy = -7.19 eV/atom

Geometry as CIF:
```
data_MnCr2Se2S2
_chemical_formula_sum 'Mn8 Cr16 Se16 S16'
_symmetry_space_group_name_H-M 'F -4 3 m'
_symmetry_Int_Tables_number 216
_symmetry_space_group_name_Hall 'F -4 2 3'
_cell_length_a 10.2357
_cell_length_b 10.2357
_cell_length_c 10.2357
_cell_angle_alpha 90.00
_cell_angle_beta 90.00
_cell_angle_gamma 90.00
loop_
_atom_site_label
_atom_site_fract_x
_atom_site_fract_y
_atom_site_fract_z
Mn1 0.0000 0.0000 0.0000
Mn2 0.2500 0.2500 0.2500
Cr1 0.1295 0.1295 0.6295
Se1 0.1148 0.1148 0.3852
S1 0.1359 0.1359 0.8641
```

***

# 12
A geometry-optimized MnCr2Se3S structure. Source: the Alexandria database, functional GGA-PBEsol.

formation energy (no corrections) = -318.0 kJ/mol of formula units
electronic total energy = -7.07 eV/atom

Geometry as CIF:
```
data_MnCr2Se3S
_chemical_formula_sum 'Mn2 Cr4 Se6 S2'
_symmetry_space_group_name_H-M 'C 1 m 1'
_symmetry_Int_Tables_number 8
_cell_length_a 12.7497
_cell_length_b 3.5806
_cell_length_c 6.1681
_cell_angle_alpha 90.00
_cell_angle_beta 118.12
_cell_angle_gamma 90.00
loop_
_symmetry_equiv_pos_as_xyz
'x,y,z'
'x,-y,z'
'x+1/2,y+1/2,z'
'x+1/2,-y+1/2,z'
loop_
_atom_site_label
_atom_site_fract_x
_atom_site_fract_y
_atom_site_fract_z
Mn1 0.0000 0.0000 0.0000
Cr1 0.2473 0.5000 0.7575
Cr2 0.2628 0.0000 0.2223
Se1 0.1193 0.0000 0.7731
Se2 0.1362 0.5000 0.2905
Se3 0.3717 0.0000 0.6916
S1 0.3731 0.5000 0.1832
```

***

# 13
A geometry-optimized MnCrSb structure. Source: the Alexandria database, functional GGA-PBEsol.

formation energy (no corrections) = 48.8 kJ/mol of formula units
E above lowest polymorph = 0 meV/atom
electronic total energy = -8.02 eV/atom

Geometry as CIF:
```
data_MnCrSb
_chemical_formula_sum 'Mn4 Cr4 Sb4'
_symmetry_space_group_name_H-M 'F -4 3 m'
_symmetry_Int_Tables_number 216
_symmetry_space_group_name_Hall 'F -4 2 3'
_cell_length_a 5.8080
_cell_length_b 5.8080
_cell_length_c 5.8080
_cell_angle_alpha 90.00
_cell_angle_beta 90.00
_cell_angle_gamma 90.00
loop_
_atom_site_label
_atom_site_fract_x
_atom_site_fract_y
_atom_site_fract_z
Mn1 0.0000 0.0000 0.0000
Cr1 0.2500 0.2500 0.2500
Sb1 0.2500 0.2500 0.7500
```

***

# 14
A geometry-optimized MnCrSb structure. Source: the Alexandria database, functional GGA-PBEsol.

formation energy (no corrections) = 120.6 kJ/mol of formula units
E above lowest polymorph = 248 meV/atom
electronic total energy = -7.77 eV/atom

Geometry as CIF:
```
data_MnCrSb
_chemical_formula_sum 'Mn1 Cr1 Sb1'
_symmetry_space_group_name_H-M 'P 3 m 1'
_symmetry_Int_Tables_number 156
_cell_length_a 4.2195
_cell_length_b 4.2195
_cell_length_c 3.0056
_cell_angle_alpha 90.00
_cell_angle_beta 90.00
_cell_angle_gamma 120.00
loop_
_symmetry_equiv_pos_as_xyz
'x,y,z'
'-y,x-y,z'
'-x+y,-x,z'
'-y,-x,z'
'-x+y,y,z'
'x,x-y,z'
loop_
_atom_site_label
_atom_site_fract_x
_atom_site_fract_y
_atom_site_fract_z
Mn1 0.0000 0.0000 0.0000
Cr1 0.3333 0.6667 0.2972
Sb1 0.6667 0.3333 0.6849
```

***

# 15
A geometry-optimized MnCr2Sb structure. Source: the Alexandria database, functional GGA-PBEsol.

formation energy (no corrections) = 130.4 kJ/mol of formula units
electronic total energy = -8.36 eV/atom

Geometry as CIF:
```
data_MnCr2Sb
_chemical_formula_sum 'Mn2 Cr4 Sb2'
_symmetry_space_group_name_H-M 'I 4/m m m'
_symmetry_Int_Tables_number 139
_symmetry_space_group_name_Hall '-I 4 2'
_cell_length_a 3.9221
_cell_length_b 3.9221
_cell_length_c 7.2530
_cell_angle_alpha 90.00
_cell_angle_beta 90.00
_cell_angle_gamma 90.00
loop_
_atom_site_label
_atom_site_fract_x
_atom_site_fract_y
_atom_site_fract_z
Mn1 0.0000 0.0000 0.0000
Cr1 0.0000 0.5000 0.2500
Sb1 0.0000 0.0000 0.5000
```

***

# 16
A geometry-optimized MnCrSb structure. Source: the Alexandria database, functional GGA-PBEsol.

formation energy (no corrections) = 109.6 kJ/mol of formula units
E above lowest polymorph = 210 meV/atom
electronic total energy = -7.81 eV/atom

Geometry as CIF:
```
data_MnCrSb
_chemical_formula_sum 'Mn2 Cr2 Sb2'
_symmetry_space_group_name_H-M 'P 63/m m c'
_symmetry_Int_Tables_number 194
_symmetry_space_group_name_Hall '-P 6c 2c'
_cell_length_a 4.4051
_cell_length_b 4.4051
_cell_length_c 5.2764
_cell_angle_alpha 90.00
_cell_angle_beta 90.00
_cell_angle_gamma 120.00
loop_
_atom_site_label
_atom_site_fract_x
_atom_site_fract_y
_atom_site_fract_z
Mn1 0.0000 0.0000 0.0000
Cr1 0.3333 0.6667 0.2500
Sb1 0.3333 0.6667 0.7500
```

***

# 17
A geometry-optimized ScMnCr2 structure. Source: the Alexandria database, functional GGA-PBEsol.

ΔH_f (0 K) = 0.76 eV/f.u.
electronic total energy = -9.02 eV/atom

Geometry as CIF:
```
data_ScMnCr2
_chemical_formula_sum 'Sc1 Mn1 Cr2'
_symmetry_space_group_name_H-M 'P 4 m m'
_symmetry_Int_Tables_number 99
_cell_length_a 2.8957
_cell_length_b 2.8957
_cell_length_c 6.3353
_cell_angle_alpha 90.00
_cell_angle_beta 90.00
_cell_angle_gamma 90.00
loop_
_symmetry_equiv_pos_as_xyz
'x,y,z'
'-y,x,z'
'-x,-y,z'
'y,-x,z'
'-x,y,z'
'y,x,z'
'x,-y,z'
'-y,-x,z'
loop_
_atom_site_label
_atom_site_fract_x
_atom_site_fract_y
_atom_site_fract_z
Sc1 0.0000 0.0000 0.0000
Mn1 0.5000 0.5000 0.7146
Cr1 0.0000 0.0000 0.5032
Cr2 0.5000 0.5000 0.2958
```

***

# 18
A geometry-optimized ScMnCr2 structure. Source: the Alexandria database, functional GGA-PBEsol.

ΔH_f (0 K) = 1.25 eV/f.u.
electronic total energy = -8.90 eV/atom

Geometry as CIF:
```
data_ScMnCr2
_chemical_formula_sum 'Sc1 Mn1 Cr2'
_symmetry_space_group_name_H-M 'P 1 2/m 1'
_symmetry_Int_Tables_number 10
_cell_length_a 2.6834
_cell_length_b 3.9495
_cell_length_c 5.0701
_cell_angle_alpha 90.00
_cell_angle_beta 102.81
_cell_angle_gamma 90.00
loop_
_symmetry_equiv_pos_as_xyz
'x,y,z'
'-x,-y,-z'
'-x,y,-z'
'x,-y,z'
loop_
_atom_site_label
_atom_site_fract_x
_atom_site_fract_y
_atom_site_fract_z
Sc1 0.0000 0.0000 0.0000
Mn1 0.5000 0.0000 0.5000
Cr1 0.2454 0.5000 0.7021
```

***

# 19
A geometry-optimized Sc4MnCr structure. Source: the Alexandria database, functional GGA-PBEsol.

ΔH_f (0 K) = 4.68 eV/f.u.
electronic total energy = -6.96 eV/atom

Geometry as CIF:
```
data_Sc4MnCr
_chemical_formula_sum 'Sc16 Mn4 Cr4'
_symmetry_space_group_name_H-M 'F -4 3 m'
_symmetry_Int_Tables_number 216
_symmetry_space_group_name_Hall 'F -4 2 3'
_cell_length_a 7.9490
_cell_length_b 7.9490
_cell_length_c 7.9490
_cell_angle_alpha 90.00
_cell_angle_beta 90.00
_cell_angle_gamma 90.00
loop_
_atom_site_label
_atom_site_fract_x
_atom_site_fract_y
_atom_site_fract_z
Sc1 0.1251 0.1251 0.1251
Mn1 0.0000 0.0000 0.5000
Cr1 0.2500 0.2500 0.7500
```

***

# 20
A geometry-optimized ScMnCr2 structure. Source: the Alexandria database, functional GGA-PBEsol.

ΔH_f (0 K) = 1.90 eV/f.u.
electronic total energy = -8.74 eV/atom

Geometry as CIF:
```
data_ScMnCr2
_chemical_formula_sum 'Sc3 Mn3 Cr6'
_symmetry_space_group_name_H-M 'R 3 m'
_symmetry_Int_Tables_number 160
_symmetry_space_group_name_Hall 'R 3 -2"'
_cell_length_a 2.7879
_cell_length_b 2.7879
_cell_length_c 23.9593
_cell_angle_alpha 90.00
_cell_angle_beta 90.00
_cell_angle_gamma 120.00
loop_
_atom_site_label
_atom_site_fract_x
_atom_site_fract_y
_atom_site_fract_z
Sc1 0.0000 0.0000 0.0000
Mn1 0.0000 0.0000 0.2399
Cr1 0.0000 0.0000 0.4993
Cr2 0.0000 0.0000 0.7631
```

***

Fermi-level density of states readings, ordered: 5.4 4.9 4.1 3.9 2.5 4.9 1.5 3.2 2.5 3.1 1.8 4.0 1.0 2.6 5.3 2.8 4.0 4.3 7.7 4.6 states/eV/f.u.